Crystalline Tl7InPb5 at its relaxed geometry. Source: the Alexandria database, functional PBE.

a b c (Å): 5.373 9.426 9.426
angles (deg): 70.11 71.47 71.47
Atoms (fractional coordinates):
Pb 0.904 0.391 0.001
Pb 0.797 0.776 0.776
Pb 0.270 0.006 0.620
Tl 0.578 0.814 0.165
Tl 0.057 0.651 0.360
Pb 0.904 0.001 0.391
Pb 0.270 0.620 0.006
Tl 0.057 0.360 0.651
Tl 0.688 0.381 0.381
Tl 0.443 0.621 0.621
Tl 0.578 0.165 0.814
In 0.059 0.007 0.007
Tl 0.394 0.205 0.205

Energy relative to the elements   0.0541 eV per atom


Crystalline TlIn3Pb5 at its relaxed geometry. Source: the Alexandria database, functional PBE.

a b c (Å): 6.737 9.668 9.661
angles (deg): 120.02 90.00 90.00
Atoms (fractional coordinates):
Pb 0.750 0.332 0.000
Pb 0.750 0.000 0.332
In 0.750 0.000 0.661
In 0.250 0.661 0.661
In 0.250 0.000 0.339
Pb 0.250 0.000 0.668
Pb 0.500 0.333 0.667
In 0.750 0.339 0.339
In 0.250 0.339 0.000
Pb 0.000 0.333 0.667
Tl 0.000 0.000 0.000
Pb 0.000 0.667 0.333
Pb 0.750 0.668 0.668
Pb 0.500 0.667 0.333
Pb 0.250 0.668 0.000
In 0.750 0.661 0.000
Pb 0.250 0.332 0.332
Tl 0.500 0.000 0.000

Energy relative to the elements   0.0454 eV per atom


Crystalline TlIn2Pb2 at its relaxed geometry. Source: the Alexandria database, functional PBE.

a b c (Å): 4.398 4.398 8.777
angles (deg): 75.49 75.49 90.00
Atoms (fractional coordinates):
Pb 0.606 0.606 0.788
Tl 0.000 0.000 0.000
In 0.250 0.750 0.500
In 0.750 0.250 0.500
Pb 0.394 0.394 0.212

Energy relative to the elements   0.0800 eV per atom


Crystalline Tl3In6Pb at its relaxed geometry. Source: the Alexandria database, functional PBE.

a b c (Å): 3.298 14.203 14.320
angles (deg): 118.36 90.00 90.00
Atoms (fractional coordinates):
In 0.250 0.911 0.645
Tl 0.750 0.965 0.875
In 0.250 0.286 0.310
In 0.750 0.214 0.064
In 0.750 0.714 0.690
In 0.250 0.543 0.739
Tl 0.750 0.873 0.422
Pb 0.250 0.408 0.028
Pb 0.750 0.592 0.972
In 0.750 0.340 0.775
In 0.750 0.457 0.261
In 0.250 0.786 0.936
In 0.750 0.089 0.355
Tl 0.250 0.127 0.578
Tl 0.250 0.655 0.461
Tl 0.250 0.035 0.125
Tl 0.750 0.345 0.539
In 0.250 0.660 0.225
In 0.250 0.159 0.828
In 0.750 0.841 0.172

Energy relative to the elements   0.0386 eV per atom


Crystalline Tl2In2Pb at its relaxed geometry. Source: the Alexandria database, functional PBE.

a b c (Å): 4.624 4.624 8.064
angles (deg): 73.34 73.34 90.00
Atoms (fractional coordinates):
Tl 0.250 0.750 0.500
Tl 0.750 0.250 0.500
In 0.598 0.598 0.805
Pb 0.000 0.000 0.000
In 0.402 0.402 0.195

Energy relative to the elements   0.1375 eV per atom


Crystalline Tl7In5Pb at its relaxed geometry. Source: the Alexandria database, functional PBE.

a b c (Å): 5.616 8.678 8.678
angles (deg): 77.34 77.03 77.03
Atoms (fractional coordinates):
Tl 0.097 0.363 0.658
Pb 0.086 0.998 0.998
Tl 0.701 0.386 0.386
Tl 0.604 0.803 0.162
Tl 0.504 0.631 0.631
In 0.871 0.774 0.774
Tl 0.097 0.658 0.363
In 0.808 0.006 0.410
Tl 0.604 0.162 0.803
In 0.808 0.410 0.006
Tl 0.314 0.213 0.213
In 0.253 0.007 0.589
In 0.253 0.589 0.007

Energy relative to the elements   0.0450 eV per atom


Crystalline TlIn6Pb10 at its relaxed geometry. Source: the Alexandria database, functional PBE.

a b c (Å): 6.865 9.397 9.397
angles (deg): 120.00 90.00 90.00
Atoms (fractional coordinates):
Pb 0.837 0.308 0.000
Tl 0.500 0.000 0.000
Pb 0.163 0.308 0.308
In 0.334 0.000 0.346
In 0.666 0.346 0.346
Pb 0.163 0.000 0.692
Pb 0.500 0.667 0.333
Pb 0.000 0.333 0.667
In 0.334 0.346 0.000
Pb 0.163 0.692 0.000
In 0.666 0.000 0.654
In 0.666 0.654 0.000
Pb 0.837 0.000 0.308
Pb 0.000 0.667 0.333
Pb 0.500 0.333 0.667
Pb 0.837 0.692 0.692
In 0.334 0.654 0.654

Energy relative to the elements   0.0615 eV per atom


Crystalline Tl6In3Pb at its relaxed geometry. Source: the Alexandria database, functional PBE.

a b c (Å): 5.671 11.901 12.653
angles (deg): 135.53 89.99 90.09
Atoms (fractional coordinates):
Tl 0.249 0.778 0.268
Tl 0.250 0.971 0.160
Tl 0.750 0.623 0.537
Tl 0.249 0.570 0.850
Pb 0.251 0.375 0.960
In 0.749 0.424 0.638
In 0.749 0.823 0.440
Tl 0.750 0.029 0.840
Tl 0.249 0.970 0.651
Tl 0.750 0.824 0.935
Tl 0.250 0.377 0.463
In 0.750 0.224 0.244
In 0.251 0.576 0.362
In 0.250 0.776 0.756
Tl 0.250 0.176 0.065
In 0.251 0.177 0.560
Tl 0.751 0.430 0.150
Tl 0.751 0.222 0.732
Pb 0.749 0.625 0.040
Tl 0.751 0.030 0.349

Energy relative to the elements   0.0193 eV per atom